*1*
A plane-wave DFT calculation with PBE was carried out for crystalline ZrTl3As at its relaxed geometry.

```
5
Lattice="5.396 0.000 0.000 0.000 5.396 0.000 0.000 0.000 5.396" Properties=species:S:1:pos:R:3 pbc="T T T"
Tl 0.000 2.698 0.000
Tl 2.698 0.000 0.000
Tl 0.000 0.000 2.698
As 0.000 0.000 0.000
Zr 2.698 2.698 2.698
```

**Space-group type**: Pm-3m (221)



*2*
A plane-wave DFT calculation with PBE was carried out for crystalline ZrTl3As at its relaxed geometry.

```
5
Lattice="-4.870 -2.353 1.658 2.618 -4.974 0.632 1.195 1.312 5.371" Properties=species:S:1:pos:R:3 pbc="T T T"
As -0.528 -3.007 3.831
Tl -2.435 -1.176 0.829
Tl 0.598 0.656 2.685
Tl 1.309 -2.487 0.316
Zr 0.000 0.000 0.000
```

**Space-group type**: Pm-3m (221)



The least stable of them is *1*.



*1*
A plane-wave DFT calculation with PBE was carried out for crystalline ZrTlAs2 at its relaxed geometry.

```
4
Lattice="5.062 0.012 0.002 3.894 3.235 0.002 1.093 0.396 5.825" Properties=species:S:1:pos:R:3 pbc="T T T"
As 4.955 1.796 3.444
As 1.163 0.421 5.294
Tl 2.512 0.911 1.457
Zr 7.537 2.732 4.371
```

**Space-group type**: C2/m (12)



*2*
A plane-wave DFT calculation with PBE was carried out for crystalline ZrTlAs2 at its relaxed geometry.

```
4
Lattice="8.381 -0.509 -0.298 7.839 3.008 -0.298 7.839 1.208 2.771" Properties=species:S:1:pos:R:3 pbc="T T T"
Zr 17.790 2.741 1.608
As 6.242 0.962 0.564
As 23.974 3.694 2.167
Tl 12.145 1.871 1.098
```

**Space-group type**: R3m (160)



The least stable of them is *2*.



*1*
A plane-wave DFT calculation with PBE was carried out for crystalline ZrTlAs2 at its relaxed geometry.

```
4
Lattice="-0.744 -4.741 1.356 -0.310 -1.192 4.833 -4.377 -1.378 1.952" Properties=species:S:1:pos:R:3 pbc="T T T"
As -1.358 -1.828 2.035
As -4.074 -5.484 6.106
Zr 0.000 0.000 0.000
Tl -2.716 -3.656 4.071
```

**Space-group type**: Fm-3m (225)



*2*
A plane-wave DFT calculation with PBE was carried out for crystalline ZrTlAs2 at its relaxed geometry.

```
4
Lattice="-0.195 -4.921 -0.721 4.200 -2.668 -0.109 1.072 -3.108 3.737" Properties=species:S:1:pos:R:3 pbc="T T T"
Tl 2.538 -5.348 1.453
Zr 3.808 -8.022 2.180
As 0.000 0.000 0.000
As 1.269 -2.674 0.727
```

**Space-group type**: F-43m (216)



*3*
A plane-wave DFT calculation with PBE was carried out for crystalline ZrTlAs2 at its relaxed geometry.

```
4
Lattice="-2.812 2.001 1.920 0.595 -2.235 3.202 4.127 3.914 1.965" Properties=species:S:1:pos:R:3 pbc="T T T"
As 0.385 1.300 3.272
As 3.625 3.438 1.726
Zr 2.490 3.296 4.274
Tl 1.601 1.519 0.762
```

**Space-group type**: P4mm (99)



*4*
A plane-wave DFT calculation with PBE was carried out for crystalline ZrTlAs2 at its relaxed geometry.

```
4
Lattice="-1.542 3.244 0.625 -1.522 -0.083 -3.326 -6.917 -3.139 -0.778" Properties=species:S:1:pos:R:3 pbc="T T T"
Tl -2.881 0.816 -0.713
Zr -7.101 -0.794 -2.765
As -4.527 -1.785 -1.907
As -6.610 -2.965 -0.923
```

**Space-group type**: Pmmm (47)



The least stable of them is *2*.



*1*
A plane-wave DFT calculation with PBE was carried out for crystalline ZrTlAs2 at its relaxed geometry.

```
8
Lattice="6.453 0.000 0.000 0.000 6.453 0.000 3.227 3.227 6.148" Properties=species:S:1:pos:R:3 pbc="T T T"
As 4.606 1.613 1.537
As 8.067 7.833 4.611
As 4.840 5.074 4.611
As 1.847 4.840 1.537
Tl 0.000 0.000 0.000
Tl 6.453 3.227 3.074
Zr 3.227 6.453 3.074
Zr 3.227 3.227 0.000
```

**Space-group type**: I-42d (122)



*2*
A plane-wave DFT calculation with PBE was carried out for crystalline ZrTlAs2 at its relaxed geometry.

```
4
Lattice="-2.180 0.725 2.366 0.191 -3.291 0.076 6.591 0.519 5.914" Properties=species:S:1:pos:R:3 pbc="T T T"
Zr 3.948 -0.894 5.657
As 3.583 0.282 3.215
As 6.303 0.496 5.656
Tl 0.653 -1.154 2.699
```

**Space-group type**: Cmmm (65)



The least stable of them is *1*.